Tc2AgOs after structural relaxation. Source: Alexandria, functional PBE.

The structure in POSCAR format:
```
Tc2AgOs
1.0
2.685 0.011 0.000
-1.190 2.407 0.000
0.000 0.000 9.593
Ag Os Tc
1 1 2
Direct
0.500 0.500 0.250 Ag
0.500 0.500 0.750 Os
0.000 0.000 0.985 Tc
0.000 0.000 0.515 Tc
```

Values from the calculation:
Magnetic moment   0.000 μB/f.u.
Crystal system   orthorhombic
Energy of formation   0.493 eV/atom
Offset from the most stable computed form   0.228 eV per atom
SG   Cmmm, No. 65


Rb3Nd2HoSe6 after structural relaxation. Source: Alexandria, functional PBE.

The structure in POSCAR format:
```
Rb3Nd2HoSe6
1.0
7.497 -0.001 0.000
-3.748 6.493 0.000
-1.251 -2.165 8.015
Rb Nd Ho Se
3 2 1 6
Direct
0.168 0.832 0.500 Rb
0.832 0.168 0.500 Rb
0.500 0.500 0.500 Rb
0.334 0.666 0.000 Nd
0.666 0.334 0.000 Nd
0.000 0.000 0.000 Ho
0.934 0.609 0.801 Se
0.742 0.742 0.199 Se
0.066 0.391 0.199 Se
0.609 0.934 0.801 Se
0.258 0.258 0.801 Se
0.391 0.066 0.199 Se
```

Values from the calculation:
Magnetic moment   0.000 μB/f.u.
Crystal system   monoclinic
Formation energy from raw total energies   -167 kJ/mol of atoms
SG   C2/m, No. 12


TiGaFe3 after structural relaxation. Source: Alexandria, functional PBE.

The structure in POSCAR format:
```
TiGaFe3
1.0
-2.728 3.302 0.688
-1.416 -1.924 3.621
3.062 2.052 2.288
Fe Ga Ti
3 1 1
Direct
0.000 0.500 0.000 Fe
0.000 0.000 0.500 Fe
0.500 0.000 0.000 Fe
0.500 0.500 0.500 Ga
0.000 0.000 0.000 Ti
```

Values from the calculation:
Magnetic moment   5.087 μB/f.u.
Crystal system   cubic
Energy of formation   1.054 eV/atom
Offset from the most stable computed form   0.959 eV per atom
SG   Pm-3m, No. 221